Entry from Alexandria: crystalline HoReB3 at its relaxed geometry (PBE).

Crystal system = orthorhombic
VASP energy = -7.808 eV/atom
Calculated volume = 55 Å³/f.u.
Total magnetization = 0.000 μB per cell
ΔH_f (0 K) = -0.40 eV/atom

Cell lengths 9.8076, 9.8076, 3.0969 Å; angles 90.00, 90.00, 158.39 degrees
Fractional coordinates of all 10 atoms:
Ho 0.0757 0.9243 0.7500
Ho 0.9243 0.0757 0.2500
Re 0.2081 0.7919 0.2500
Re 0.7919 0.2081 0.7500
B 0.3233 0.6767 0.2500
B 0.3719 0.6281 0.7500
B 0.4769 0.5231 0.7500
B 0.5231 0.4769 0.2500
B 0.6281 0.3719 0.2500
B 0.6767 0.3233 0.7500